i:
## TaZnCoHg (PBE)

Data for a relaxed structure of TaZnCoHg.

```
data_TaZnCoHg
_chemical_formula_sum 'Ta1 Zn1 Co1 Hg1'
_cell_length_a 4.489
_cell_length_b 4.489
_cell_length_c 4.489
_cell_angle_alpha 60.00
_cell_angle_beta 60.00
_cell_angle_gamma 60.00
_space_group_name_H-M_alt 'P 1'
_space_group_IT_number 1
_space_group_name_Hall 'P 1'
loop_
_atom_site_label
_atom_site_type_symbol
_atom_site_fract_x
_atom_site_fract_y
_atom_site_fract_z
_atom_site_occupancy
Co1 Co 0.750 0.750 0.750 1
Hg1 Hg 0.250 0.250 0.250 1
Ta1 Ta 0.500 0.500 0.500 1
Zn1 Zn 0.000 0.000 0.000 1
```

Summary:
Magnetization ... 0.23 μB/f.u.
Calculated volume ... 15.993 Å³ per atom
Symmetry ... F-43m (216)



ii:
## TaZnCoHg (PBE)

Data for a relaxed structure of TaZnCoHg.

```
data_TaZnCoHg
_chemical_formula_sum 'Ta1 Zn1 Co1 Hg1'
_cell_length_a 4.459
_cell_length_b 4.459
_cell_length_c 4.459
_cell_angle_alpha 60.00
_cell_angle_beta 60.00
_cell_angle_gamma 60.00
_space_group_name_H-M_alt 'P 1'
_space_group_IT_number 1
_space_group_name_Hall 'P 1'
loop_
_atom_site_label
_atom_site_type_symbol
_atom_site_fract_x
_atom_site_fract_y
_atom_site_fract_z
_atom_site_occupancy
Co1 Co 0.750 0.750 0.750 1
Hg1 Hg 0.500 0.500 0.500 1
Ta1 Ta 0.250 0.250 0.250 1
Zn1 Zn 0.000 0.000 0.000 1
```

Summary:
Magnetization ... 0.38 μB/f.u.
Calculated volume ... 15.671 Å³ per atom
Symmetry ... F-43m (216)



Result of the stability comparison: i is the most stable of them.



i:
## TlCoHgW (PBE)

Data for a relaxed structure of TlCoHgW.

```
data_TlCoHgW
_chemical_formula_sum 'Tl1 Co1 Hg1 W1'
_cell_length_a 4.644
_cell_length_b 4.644
_cell_length_c 4.644
_cell_angle_alpha 60.00
_cell_angle_beta 60.00
_cell_angle_gamma 60.00
_space_group_name_H-M_alt 'P 1'
_space_group_IT_number 1
_space_group_name_Hall 'P 1'
loop_
_atom_site_label
_atom_site_type_symbol
_atom_site_fract_x
_atom_site_fract_y
_atom_site_fract_z
_atom_site_occupancy
Co1 Co 0.750 0.750 0.750 1
Hg1 Hg 0.500 0.500 0.500 1
Tl1 Tl 0.000 0.000 0.000 1
W1 W 0.250 0.250 0.250 1
```

Summary:
Magnetization ... 0.26 μB/f.u.
Calculated volume ... 17.709 Å³ per atom
Symmetry ... F-43m (216)



ii:
## TlCoHgW (PBE)

Data for a relaxed structure of TlCoHgW.

```
data_TlCoHgW
_chemical_formula_sum 'Tl1 Co1 Hg1 W1'
_cell_length_a 4.648
_cell_length_b 4.648
_cell_length_c 4.648
_cell_angle_alpha 60.00
_cell_angle_beta 60.00
_cell_angle_gamma 60.00
_space_group_name_H-M_alt 'P 1'
_space_group_IT_number 1
_space_group_name_Hall 'P 1'
loop_
_atom_site_label
_atom_site_type_symbol
_atom_site_fract_x
_atom_site_fract_y
_atom_site_fract_z
_atom_site_occupancy
Co1 Co 0.750 0.750 0.750 1
Hg1 Hg 0.250 0.250 0.250 1
Tl1 Tl 0.000 0.000 0.000 1
W1 W 0.500 0.500 0.500 1
```

Summary:
Magnetization ... 0.62 μB/f.u.
Calculated volume ... 17.746 Å³ per atom
Symmetry ... F-43m (216)



Result of the stability comparison: i is the most stable of them.



i:
## YTlCoHg (PBE)

Data for a relaxed structure of YTlCoHg.

```
data_YTlCoHg
_chemical_formula_sum 'Y1 Tl1 Co1 Hg1'
_cell_length_a 4.913
_cell_length_b 4.913
_cell_length_c 4.913
_cell_angle_alpha 60.00
_cell_angle_beta 60.00
_cell_angle_gamma 60.00
_space_group_name_H-M_alt 'P 1'
_space_group_IT_number 1
_space_group_name_Hall 'P 1'
loop_
_atom_site_label
_atom_site_type_symbol
_atom_site_fract_x
_atom_site_fract_y
_atom_site_fract_z
_atom_site_occupancy
Co1 Co 0.750 0.750 0.750 1
Hg1 Hg 0.250 0.250 0.250 1
Tl1 Tl 0.000 0.000 0.000 1
Y1 Y 0.500 0.500 0.500 1
```

Summary:
Magnetization ... 1.33 μB/f.u.
Calculated volume ... 20.963 Å³ per atom
Symmetry ... F-43m (216)



ii:
## YTlCoHg (PBE)

Data for a relaxed structure of YTlCoHg.

```
data_YTlCoHg
_chemical_formula_sum 'Y1 Tl1 Co1 Hg1'
_cell_length_a 4.925
_cell_length_b 4.925
_cell_length_c 4.925
_cell_angle_alpha 60.00
_cell_angle_beta 60.00
_cell_angle_gamma 60.00
_space_group_name_H-M_alt 'P 1'
_space_group_IT_number 1
_space_group_name_Hall 'P 1'
loop_
_atom_site_label
_atom_site_type_symbol
_atom_site_fract_x
_atom_site_fract_y
_atom_site_fract_z
_atom_site_occupancy
Co1 Co 0.750 0.750 0.750 1
Hg1 Hg 0.500 0.500 0.500 1
Tl1 Tl 0.000 0.000 0.000 1
Y1 Y 0.250 0.250 0.250 1
```

Summary:
Magnetization ... 1.23 μB/f.u.
Calculated volume ... 21.123 Å³ per atom
Symmetry ... F-43m (216)



Result of the stability comparison: ii is the most stable of them.



i:
## ZrTlCoHg (PBE)

Data for a relaxed structure of ZrTlCoHg.

```
data_ZrTlCoHg
_chemical_formula_sum 'Zr1 Tl1 Co1 Hg1'
_cell_length_a 4.793
_cell_length_b 4.793
_cell_length_c 4.793
_cell_angle_alpha 60.00
_cell_angle_beta 60.00
_cell_angle_gamma 60.00
_space_group_name_H-M_alt 'P 1'
_space_group_IT_number 1
_space_group_name_Hall 'P 1'
loop_
_atom_site_label
_atom_site_type_symbol
_atom_site_fract_x
_atom_site_fract_y
_atom_site_fract_z
_atom_site_occupancy
Co1 Co 0.750 0.750 0.750 1
Hg1 Hg 0.250 0.250 0.250 1
Tl1 Tl 0.000 0.000 0.000 1
Zr1 Zr 0.500 0.500 0.500 1
```

Summary:
Magnetization ... 0.47 μB/f.u.
Calculated volume ... 19.465 Å³ per atom
Symmetry ... F-43m (216)



ii:
## ZrTlCoHg (PBE)

Data for a relaxed structure of ZrTlCoHg.

```
data_ZrTlCoHg
_chemical_formula_sum 'Zr1 Tl1 Co1 Hg1'
_cell_length_a 4.764
_cell_length_b 4.764
_cell_length_c 4.764
_cell_angle_alpha 60.00
_cell_angle_beta 60.00
_cell_angle_gamma 60.00
_space_group_name_H-M_alt 'P 1'
_space_group_IT_number 1
_space_group_name_Hall 'P 1'
loop_
_atom_site_label
_atom_site_type_symbol
_atom_site_fract_x
_atom_site_fract_y
_atom_site_fract_z
_atom_site_occupancy
Co1 Co 0.750 0.750 0.750 1
Hg1 Hg 0.500 0.500 0.500 1
Tl1 Tl 0.000 0.000 0.000 1
Zr1 Zr 0.250 0.250 0.250 1
```

Summary:
Magnetization ... 0.56 μB/f.u.
Calculated volume ... 19.117 Å³ per atom
Symmetry ... F-43m (216)



Result of the stability comparison: ii is the most stable of them.



i:
## YZnCoHg (PBE)

Data for a relaxed structure of YZnCoHg.

```
data_YZnCoHg
_chemical_formula_sum 'Y1 Zn1 Co1 Hg1'
_cell_length_a 4.746
_cell_length_b 4.746
_cell_length_c 4.746
_cell_angle_alpha 60.00
_cell_angle_beta 60.00
_cell_angle_gamma 60.00
_space_group_name_H-M_alt 'P 1'
_space_group_IT_number 1
_space_group_name_Hall 'P 1'
loop_
_atom_site_label
_atom_site_type_symbol
_atom_site_fract_x
_atom_site_fract_y
_atom_site_fract_z
_atom_site_occupancy
Co1 Co 0.750 0.750 0.750 1
Hg1 Hg 0.250 0.250 0.250 1
Y1 Y 0.500 0.500 0.500 1
Zn1 Zn 0.000 0.000 0.000 1
```

Summary:
Magnetization ... 1.32 μB/f.u.
Calculated volume ... 18.895 Å³ per atom
Symmetry ... F-43m (216)



ii:
## YZnCoHg (PBE)

Data for a relaxed structure of YZnCoHg.

```
data_YZnCoHg
_chemical_formula_sum 'Y1 Zn1 Co1 Hg1'
_cell_length_a 4.755
_cell_length_b 4.755
_cell_length_c 4.755
_cell_angle_alpha 60.00
_cell_angle_beta 60.00
_cell_angle_gamma 60.00
_space_group_name_H-M_alt 'P 1'
_space_group_IT_number 1
_space_group_name_Hall 'P 1'
loop_
_atom_site_label
_atom_site_type_symbol
_atom_site_fract_x
_atom_site_fract_y
_atom_site_fract_z
_atom_site_occupancy
Co1 Co 0.750 0.750 0.750 1
Hg1 Hg 0.500 0.500 0.500 1
Y1 Y 0.250 0.250 0.250 1
Zn1 Zn 0.000 0.000 0.000 1
```

Summary:
Magnetization ... 1.38 μB/f.u.
Calculated volume ... 19.005 Å³ per atom
Symmetry ... F-43m (216)



Result of the stability comparison: i is the most stable of them.



i:
## ZrZnCoHg (PBE)

Data for a relaxed structure of ZrZnCoHg.

```
data_ZrZnCoHg
_chemical_formula_sum 'Zr1 Zn1 Co1 Hg1'
_cell_length_a 4.573
_cell_length_b 4.573
_cell_length_c 4.573
_cell_angle_alpha 60.00
_cell_angle_beta 60.00
_cell_angle_gamma 60.00
_space_group_name_H-M_alt 'P 1'
_space_group_IT_number 1
_space_group_name_Hall 'P 1'
loop_
_atom_site_label
_atom_site_type_symbol
_atom_site_fract_x
_atom_site_fract_y
_atom_site_fract_z
_atom_site_occupancy
Co1 Co 0.750 0.750 0.750 1
Hg1 Hg 0.500 0.500 0.500 1
Zn1 Zn 0.000 0.000 0.000 1
Zr1 Zr 0.250 0.250 0.250 1
```

Summary:
Magnetization ... 0.41 μB/f.u.
Calculated volume ... 16.906 Å³ per atom
Symmetry ... F-43m (216)



ii:
## ZrZnCoHg (PBE)

Data for a relaxed structure of ZrZnCoHg.

```
data_ZrZnCoHg
_chemical_formula_sum 'Zr1 Zn1 Co1 Hg1'
_cell_length_a 4.598
_cell_length_b 4.598
_cell_length_c 4.598
_cell_angle_alpha 60.00
_cell_angle_beta 60.00
_cell_angle_gamma 60.00
_space_group_name_H-M_alt 'P 1'
_space_group_IT_number 1
_space_group_name_Hall 'P 1'
loop_
_atom_site_label
_atom_site_type_symbol
_atom_site_fract_x
_atom_site_fract_y
_atom_site_fract_z
_atom_site_occupancy
Co1 Co 0.750 0.750 0.750 1
Hg1 Hg 0.250 0.250 0.250 1
Zn1 Zn 0.000 0.000 0.000 1
Zr1 Zr 0.500 0.500 0.500 1
```

Summary:
Magnetization ... 1.14 μB/f.u.
Calculated volume ... 17.189 Å³ per atom
Symmetry ... F-43m (216)



Result of the stability comparison: ii is the most stable of them.